No. 1
Here is a relaxed CaSi crystal from the Alexandria database. Energies are from PBEsol.

Calculated values
Raw formation energy ... -0.3219 eV/atom
SG ... P6_3/mmc (194)
Energy ... -4.262 eV/atom

a b c (Å): 4.802 4.802 5.029
angles (deg): 90.00 90.00 120.00
Fractional coordinates of all 4 atoms:
Si: 0.000 0.000 0.500
Si: 0.000 0.000 0.000
Ca: 0.667 0.333 0.750
Ca: 0.333 0.667 0.250



No. 2
Here is a relaxed ZnPdSe2 crystal from the Alexandria database. Energies are from PBEsol.

Calculated values
Raw formation energy ... -0.2767 eV/atom
SG ... I-42d (122)
Energy ... -4.087 eV/atom

a b c (Å): 5.618 5.618 6.891
angles (deg): 114.06 114.06 90.00
Fractional coordinates of all 8 atoms:
Zn: 0.750 0.250 0.500
Zn: 0.500 0.500 0.000
Pd: 0.000 0.000 0.000
Pd: 0.250 0.750 0.500
Se: 0.374 0.875 0.250
Se: 0.876 0.375 0.250
Se: 0.125 0.124 0.750
Se: 0.625 0.626 0.750



- Which of these has the lowest raw formation energy?
  CaSi



Repeat the first record exactly.
Here is a relaxed CaSi crystal from the Alexandria database. Energies are from PBEsol.

Calculated values
Raw formation energy ... -0.3219 eV/atom
SG ... P6_3/mmc (194)
Energy ... -4.262 eV/atom

a b c (Å): 4.802 4.802 5.029
angles (deg): 90.00 90.00 120.00
Fractional coordinates of all 4 atoms:
Si: 0.000 0.000 0.500
Si: 0.000 0.000 0.000
Ca: 0.667 0.333 0.750
Ca: 0.333 0.667 0.250



- Among the records above, which one has the highest energy?
  ZnPdSe2



Please write out number 1 again, unchanged.
Here is a relaxed CaSi crystal from the Alexandria database. Energies are from PBEsol.

Calculated values
Raw formation energy ... -0.3219 eV/atom
SG ... P6_3/mmc (194)
Energy ... -4.262 eV/atom

a b c (Å): 4.802 4.802 5.029
angles (deg): 90.00 90.00 120.00
Fractional coordinates of all 4 atoms:
Si: 0.000 0.000 0.500
Si: 0.000 0.000 0.000
Ca: 0.667 0.333 0.750
Ca: 0.333 0.667 0.250